Computed, not measured: crystalline CaPrSmHo at its relaxed geometry at the PBE-GGA level of DFT.

The space group is P4mm (No. 99) and the conventional cell measures 3.661, 3.661 and 10.517 Å, with angles of 90.00, 90.00 and 90.00 degrees. The distinct sites, in fractional coordinates, are Ca at (0.000, 0.000, 0.000), Pr at (0.500, 0.500, 0.270), Sm at (0.500, 0.500, 0.736) and Ho at (0.000, 0.000, 0.507).

As for the energy relative to the lowest polymorph listed for this composition: 0.00 eV per formula unit. The calculation puts the volume at 35.2 Å³ per atom.

***

Computed, not measured: crystalline Mg2CuSe at its relaxed geometry at the PBE-GGA level of DFT.

The space group is R-3m (No. 166, hexagonal axes) and the conventional cell measures 3.9190, 3.9190 and 18.2046 Å, with angles of 90.00, 90.00 and 120.00 degrees. The distinct sites, in fractional coordinates, are Mg at (0.0000, 0.0000, 0.2460), Cu at (0.0000, 0.0000, 0.5000) and Se at (0.0000, 0.0000, 0.0000).

The calculation puts the volume at 20.2 Å³ per atom. For the formation energy from raw total energies, the calculation gives -0.369 eV/atom.

***

Computed, not measured: crystalline Tl3Sn2Sb3 at its relaxed geometry at the PBE-GGA level of DFT.

The space group is Cmcm (No. 63) and the conventional cell measures 5.492, 11.639 and 16.414 Å, with angles of 90.00, 90.00 and 90.00 degrees. The distinct sites, in fractional coordinates, are Tl at (0.000, 0.086, 0.131), Tl at (0.000, 0.376, 0.250), Sn at (0.000, 0.214, 0.586), Sb at (0.000, 0.327, 0.750) and Sb at (0.000, 0.390, 0.050).

The calculation puts the volume at 32.8 Å³ per atom. For the formation energy from raw total energies, the calculation gives 0.013 eV/atom.

***

Computed, not measured: crystalline Rb3Ac3GaTe8 at its relaxed geometry at the PBE-GGA level of DFT.

The space group is C2/m (No. 12) and the conventional cell measures 16.377, 9.457 and 10.371 Å, with angles of 90.00, 121.82 and 90.00 degrees. The distinct sites, in fractional coordinates, are Rb at (0.000, 0.000, 0.000), Rb at (0.250, 0.250, 0.000), Ac at (0.000, 0.500, 0.500), Ac at (0.250, 0.250, 0.500), Ga at (0.000, 0.000, 0.500), Te at (0.010, 0.224, 0.307), Te at (0.210, 0.000, 0.690) and Te at (0.239, 0.500, 0.715).

The calculation puts the volume at 45.5 Å³ per atom. For the formation energy from raw total energies, the calculation gives -1.089 eV/atom.